A relaxed structure of AcTbCd4. Source: the Alexandria database, functional PBE.

abc: 5.0399 5.0399 7.5213
angles: 90.00 90.00 120.00
Element x y z (fractional)
Cd 0.3333 0.6667 0.2172
Cd 0.6667 0.3333 0.7828
Cd 0.6667 0.3333 0.2172
Cd 0.3333 0.6667 0.7828
Ac 0.0000 0.0000 0.5000
Tb 0.0000 0.0000 0.0000

Values from the calculation:
The magnetic moment comes out at 0.000 μB per formula unit. As for the energy of formation from the pure elements: -0.322 eV/atom. For the total DFT energy (no corrections), the calculation gives -2.3888 eV per atom. The calculation puts the offset from the most stable computed form at 0 meV/atom.